*a*
DFT (PBE) results for a geometry-optimized SrLiCo structure.

a = 4.834 Å, b = 4.834 Å, c = 4.834 Å
α = 60.00°, β = 60.00°, γ = 60.00°
Atoms (fractional coordinates):
Sr  0.000  0.000  0.000
Li  0.500  0.500  0.500
Co  0.750  0.750  0.750

- DOS(E_F) (states/eV/atom) = 2.799
- theoretical density (g/cm³) = 3.19


*b*
DFT (PBE) results for a geometry-optimized SrLiCo structure.

a = 5.841 Å, b = 5.841 Å, c = 5.841 Å
α = 144.89°, β = 144.39°, γ = 50.87°
Atoms (fractional coordinates):
Sr  0.000  0.000  0.000
Li  0.725  0.725  0.000
Co  0.310  0.310  0.000

- DOS(E_F) (states/eV/atom) = 1.822
- theoretical density (g/cm³) = 3.84


*c*
DFT (PBE) results for a geometry-optimized SrLiCo structure.

a = 4.419 Å, b = 4.419 Å, c = 4.244 Å
α = 90.00°, β = 90.00°, γ = 120.00°
Atoms (fractional coordinates):
Sr  0.000  0.000  0.000
Li  0.333  0.667  0.500
Co  0.667  0.333  0.500

- DOS(E_F) (states/eV/atom) = 1.587
- theoretical density (g/cm³) = 3.55


*d*
DFT (PBE) results for a geometry-optimized SrLiCo structure.

a = 4.700 Å, b = 4.700 Å, c = 4.700 Å
α = 60.00°, β = 60.00°, γ = 60.00°
Atoms (fractional coordinates):
Sr  0.000  0.000  0.000
Li  0.250  0.250  0.250
Co  0.500  0.500  0.500

- DOS(E_F) (states/eV/atom) = 2.027
- theoretical density (g/cm³) = 3.47


Preferred: *c*; penalty for the next structure: 1.0 kJ/mol of atoms.